[1]
Here is a crystal of SrPtPb relaxed with PBEsol from Alexandria via LeMat-Bulk. Energies are from SCAN.

Values from the calculation:
Crystal system ... hexagonal
D(E_F) ... 1.50 states/eV/f.u.

Cell lengths 4.7303, 4.7303, 4.0494 Å; angles 90.00, 90.00, 120.00 degrees
Closest atoms and distances in Å follow each position.
Space group P-6m2 (No. 187)
Asymmetric unit:
Sr  0.0000  0.0000  0.0000  6 Pt 3.40, 6 Pb 3.40
Pt  0.6667  0.3333  0.5000  3 Pb 2.73
Pb  0.3333  0.6667  0.5000  3 Pt 2.73


[2]
Here is a crystal of PrMn4Cu3O12 relaxed with PBEsol from Alexandria via LeMat-Bulk. Energies are from SCAN.

Values from the calculation:
Crystal system ... cubic
Energy relative to the elements, uncorrected ... -39.8 eV/f.u.
D(E_F) ... 3.63 states/eV/f.u.

Cell lengths 7.2219, 7.2219, 7.2219 Å; angles 90.00, 90.00, 90.00 degrees
Closest atoms and distances in Å follow each position.
Space group Im-3 (No. 204)
Asymmetric unit:
Pr  0.0000  0.0000  0.0000  12 O 2.54
Mn  0.2500  0.2500  0.2500  6 O 1.91
Cu  0.0000  0.0000  0.5000  4 O 1.93
O  0.0000  0.3020  0.1800  2 Mn 1.91, 1 Cu 1.93


Number 1: E -170.546 eV per formula unit, ρ 10.37 g cm⁻³, spin magnetization 0.00 μB/f.u.. Number 2: E -276.554 eV per formula unit, ρ 6.55 g cm⁻³, spin magnetization 10.02 μB/f.u..